The following is a DFT calculation (PBE) of an optimized crystal structure of GdGeOs.

It has space group F-43m (No. 216), with a = 6.543 Å, b = 6.543 Å, c = 6.543 Å, α = 90.00°, β = 90.00° and γ = 90.00°. The distinct sites, in fractional coordinates, are Gd at (0.000, 0.000, 0.000), Ge at (0.250, 0.250, 0.750) and Os at (0.250, 0.250, 0.250).

As for the total DFT energy (no corrections): -6.0327 eV per atom. The crystal system is cubic.